# 1
Ho2Mn3Ge4 PBE optimized geometry; calculated formation energy = -0.4353 eV per atom; SG = Cmce; total DFT energy (no corrections) = -6.561 eV per atom
1.0
2.818 -7.408 0.000
2.818 7.408 0.000
0.000 0.000 7.444
Ho Mn Ge
4 6 8
Cartesian
2.818 5.744 6.787 Ho
2.818 1.664 3.065 Ho
2.818 -1.664 4.378 Ho
2.818 -5.744 0.657 Ho
0.000 0.000 3.722 Mn
1.409 3.189 5.583 Mn
1.409 -3.189 1.861 Mn
2.818 0.000 0.000 Mn
4.226 3.189 5.583 Mn
4.226 -3.189 1.861 Mn
2.818 4.639 4.025 Ge
1.409 0.724 5.583 Ge
1.409 -0.724 1.861 Ge
2.818 2.768 0.303 Ge
2.818 -2.768 7.140 Ge
4.226 0.724 5.583 Ge
4.226 -0.724 1.861 Ge
2.818 -4.639 3.418 Ge

# 2
LiZn5Au4 PBE optimized geometry; calculated formation energy = -0.2625 eV per atom; SG = C2/m; total DFT energy (no corrections) = -2.402 eV per atom
1.0
7.172 -2.154 0.000
7.172 2.154 0.000
-1.913 0.000 5.138
Li Zn Au
1 5 4
Cartesian
0.000 0.000 0.000 Li
-0.956 0.000 2.569 Zn
1.341 0.000 4.120 Zn
4.545 0.000 3.209 Zn
7.887 0.000 1.929 Zn
11.091 0.000 1.017 Zn
2.274 0.000 1.533 Au
5.554 0.000 0.674 Au
6.878 0.000 4.464 Au
10.158 0.000 3.604 Au

# 3
CeNpNi PBE optimized geometry; calculated formation energy = 0.1517 eV per atom; SG = Cmcm; total DFT energy (no corrections) = -8.067 eV per atom
1.0
1.465 -8.091 0.000
1.465 8.091 0.000
0.000 0.000 4.752
Ce Np Ni
2 2 2
Cartesian
1.465 5.323 3.564 Ce
1.465 -5.323 1.188 Ce
1.465 0.207 1.188 Np
1.465 -0.207 3.564 Np
1.465 2.425 3.564 Ni
1.465 -2.425 1.188 Ni

# 4
BaMgNi2 PBE optimized geometry; calculated formation energy = -0.0002 eV per atom; SG = R3m; total DFT energy (no corrections) = -3.770 eV per atom
1.0
2.072 1.196 6.453
-2.072 1.196 6.453
0.000 -2.392 6.453
Ba Mg Ni
1 1 2
Cartesian
0.000 0.000 0.000 Ba
0.000 0.000 3.442 Mg
0.000 0.000 8.721 Ni
0.000 0.000 15.143 Ni

# 5
LaMnIn PBE optimized geometry; calculated formation energy = -0.0852 eV per atom; SG = P-6m2; total DFT energy (no corrections) = -5.697 eV per atom
1.0
4.850 0.000 0.000
-2.425 4.200 0.000
0.000 0.000 3.875
La Mn In
1 1 1
Cartesian
0.000 0.000 0.000 La
2.425 1.400 1.938 Mn
0.000 2.800 1.938 In

# 6
NaLiZnRh PBE optimized geometry; calculated formation energy = -0.0532 eV per atom; SG = F-43m; total DFT energy (no corrections) = -3.018 eV per atom
1.0
0.000 3.154 3.154
3.154 0.000 3.154
3.154 3.154 0.000
Na Li Zn Rh
1 1 1 1
Cartesian
0.000 0.000 0.000 Na
1.577 1.577 1.577 Li
4.731 4.731 4.731 Zn
3.154 3.154 3.154 Rh

# 7
CsLaHfFe2 PBE optimized geometry; calculated formation energy = 1.9723 eV per atom; SG = P4/mmm; total DFT energy (no corrections) = -4.560 eV per atom
1.0
4.924 0.000 0.000
0.000 4.924 0.000
0.000 0.000 5.380
Cs La Hf Fe
1 1 1 2
Cartesian
0.000 0.000 0.000 Cs
2.462 2.462 2.690 La
0.000 0.000 2.690 Hf
0.000 2.462 0.000 Fe
2.462 0.000 0.000 Fe

# 8
SmSc2Bi PBE optimized geometry; calculated formation energy = -0.2857 eV per atom; SG = P4/mmm; total DFT energy (no corrections) = -5.602 eV per atom
1.0
3.875 0.000 0.000
0.000 3.875 0.000
0.000 0.000 7.098
Sm Sc Bi
1 2 1
Cartesian
0.000 0.000 0.000 Sm
1.937 1.937 1.968 Sc
1.937 1.937 5.130 Sc
0.000 0.000 3.549 Bi